## CaCoO2 (GGA+U)

Data for a geometry-optimized CaCoO2 structure.

Properties
Volume (Å³ per atom): 13.839
E_tot (eV/f.u.): -24.5
SG: P-1, No. 2
Magnetization (μB/cell): 12.0

Lattice parameters (Å, degrees): 3.120 8.307 8.576 86.97 88.31 86.39
Fractional coordinates of all 16 atoms:
1 Ca 0.226 0.094 0.330
2 Ca 0.273 0.814 0.028
3 Ca 0.727 0.186 0.972
4 Ca 0.774 0.906 0.670
5 Co 0.188 0.230 0.649
6 Co 0.331 0.541 0.809
7 Co 0.669 0.459 0.191
8 Co 0.812 0.770 0.351
9 O 0.138 0.611 0.223
10 O 0.202 0.306 0.141
11 O 0.252 0.043 0.827
12 O 0.300 0.833 0.483
13 O 0.700 0.167 0.517
14 O 0.748 0.957 0.173
15 O 0.798 0.694 0.859
16 O 0.862 0.389 0.777